Ta4V2Ru after structural relaxation, computed with PBE.

Output
* SG: I4/mmm, No. 139
* total moment: 0.0 Bohr magnetons per cell
* electronic total energy: -0.3480 Ha/atom

abc: 7.196 7.196 7.196
angles: 141.64 141.64 55.38
Atoms (fractional coordinates):
Ta1 0.000 0.500 0.500
Ta2 0.198 0.198 0.000
Ta3 0.500 0.000 0.500
Ta4 0.802 0.802 0.000
V1 0.389 0.389 0.000
V2 0.611 0.611 0.000
Ru1 0.000 0.000 0.000



Pr4TlSiTe2 after structural relaxation, computed with PBE.

Output
* SG: P2/m, No. 10
* total moment: 0.0 Bohr magnetons per cell
* formation energy (no corrections): -973 meV/atom

abc: 7.715 4.422 7.940
angles: 90.00 108.51 90.00
Atoms (fractional coordinates):
Pr1 0.231 0.000 0.231
Pr2 0.240 0.500 0.756
Pr3 0.760 0.500 0.244
Pr4 0.769 0.000 0.769
Tl1 0.500 0.000 0.000
Si1 0.000 0.500 0.000
Te1 0.000 0.000 0.500
Te2 0.500 0.500 0.500



Sr4P2I after structural relaxation, computed with PBE.

Output
* SG: R-3m, No. 166
* total moment: 0.0 Bohr magnetons per cell
* polymorph energy (0 for the lowest one): 0 meV/atom
* formation energy (no corrections): -1180 meV/atom

abc: 15.625 15.625 15.625
angles: 16.56 16.56 16.56
Atoms (fractional coordinates):
Sr1 0.119 0.119 0.119
Sr2 0.281 0.281 0.281
Sr3 0.719 0.719 0.719
Sr4 0.881 0.881 0.881
P1 0.419 0.419 0.419
P2 0.581 0.581 0.581
I1 0.000 0.000 0.000



Tl4SeClF after structural relaxation, computed with PBE.

Output
* SG: P2_1/m, No. 11
* total moment: 0.0 Bohr magnetons per cell
* formation energy (no corrections): -912 meV/atom

abc: 7.305 7.174 8.896
angles: 90.00 108.56 90.00
Atoms (fractional coordinates):
Tl1 0.042 0.010 0.245
Tl2 0.042 0.490 0.245
Tl3 0.416 0.250 0.620
Tl4 0.430 0.250 0.094
Tl5 0.570 0.750 0.906
Tl6 0.584 0.750 0.380
Tl7 0.958 0.510 0.755
Tl8 0.958 0.990 0.755
Se1 0.260 0.750 0.065
Se2 0.740 0.250 0.935
Cl1 0.250 0.750 0.557
Cl2 0.750 0.250 0.443
F1 0.199 0.250 0.799
F2 0.801 0.750 0.201



La4Pm2PrTh after structural relaxation, computed with PBE.

Output
* SG: P2/m, No. 10
* total moment: 0.0 Bohr magnetons per cell
* electronic total energy: -0.1890 Ha/atom

abc: 6.398 3.675 12.227
angles: 90.00 99.80 90.00
Atoms (fractional coordinates):
La1 0.241 0.000 0.245
La2 0.247 0.500 0.751
La3 0.753 0.500 0.249
La4 0.759 0.000 0.755
Pm1 0.000 0.000 0.500
Pm2 0.500 0.500 0.500
Pr1 0.500 0.000 0.000
Th1 0.000 0.500 0.000



KSmPtO3 after structural relaxation, computed with PBE.

Output
* SG: C2/m, No. 12
* total moment: 0.0 Bohr magnetons per cell
* formation energy (no corrections): -1921 meV/atom

abc: 6.913 6.913 7.675
angles: 104.53 104.53 33.29
Atoms (fractional coordinates):
K1 0.142 0.142 0.063
K2 0.858 0.858 0.937
Sm1 0.151 0.151 0.578
Sm2 0.849 0.849 0.422
Pt1 0.493 0.493 0.722
Pt2 0.507 0.507 0.278
O1 0.007 0.007 0.319
O2 0.329 0.329 0.631
O3 0.346 0.346 0.228
O4 0.654 0.654 0.772
O5 0.671 0.671 0.369
O6 0.993 0.993 0.681



SmLuCdGe after structural relaxation, computed with PBE.

Output
* SG: F-43m, No. 216
* total moment: 0.0 Bohr magnetons per cell
* electronic total energy: -0.1520 Ha/atom

abc: 5.149 5.149 5.149
angles: 60.00 60.00 60.00
Atoms (fractional coordinates):
Sm1 0.000 0.000 0.000
Lu1 0.500 0.500 0.500
Cd1 0.250 0.250 0.250
Ge1 0.750 0.750 0.750



In10GaSn4 after structural relaxation, computed with PBE.

Output
* SG: I4/m, No. 87
* total moment: 0.0 Bohr magnetons per cell
* electronic total energy: -0.1116 Ha/atom

abc: 8.770 8.770 8.770
angles: 99.61 99.61 131.77
Atoms (fractional coordinates):
In1 0.048 0.144 0.712
In2 0.144 0.433 0.096
In3 0.250 0.750 0.500
In4 0.337 0.048 0.904
In5 0.433 0.337 0.288
In6 0.567 0.663 0.712
In7 0.663 0.952 0.096
In8 0.750 0.250 0.500
In9 0.856 0.567 0.904
In10 0.952 0.856 0.288
Ga1 0.000 0.000 0.000
Sn1 0.202 0.601 0.803
Sn2 0.399 0.202 0.601
Sn3 0.601 0.798 0.399
Sn4 0.798 0.399 0.197



CsLiB2Br8 after structural relaxation, computed with PBE.

Output
* SG: R-3, No. 148
* total moment: 0.0 Bohr magnetons per cell
* formation energy (no corrections): -873 meV/atom

abc: 10.842 10.842 10.842
angles: 35.07 35.07 35.07
Atoms (fractional coordinates):
Cs1 0.000 0.000 0.000
Li1 0.500 0.500 0.500
B1 0.244 0.244 0.244
B2 0.756 0.756 0.756
Br1 0.074 0.481 0.777
Br2 0.223 0.926 0.519
Br3 0.310 0.310 0.310
Br4 0.481 0.777 0.074
Br5 0.519 0.223 0.926
Br6 0.690 0.690 0.690
Br7 0.777 0.074 0.481
Br8 0.926 0.519 0.223



Pr5NdY after structural relaxation, computed with PBE.

Output
* SG: C2/c, No. 15
* total moment: 0.0 Bohr magnetons per cell
* polymorph energy (0 for the lowest one): 0 meV/atom

abc: 9.080 9.080 11.049
angles: 123.14 123.14 43.78
Atoms (fractional coordinates):
Pr1 0.009 0.991 0.750
Pr2 0.082 0.579 0.913
Pr3 0.159 0.656 0.405
Pr4 0.344 0.841 0.095
Pr5 0.421 0.918 0.587
Pr6 0.579 0.082 0.413
Pr7 0.656 0.159 0.905
Pr8 0.841 0.344 0.595
Pr9 0.918 0.421 0.087
Pr10 0.991 0.009 0.250
Nd1 0.000 0.500 0.500
Nd2 0.500 0.000 0.000
Y1 0.489 0.511 0.750
Y2 0.511 0.489 0.250



AlIr2Pb after structural relaxation, computed with PBE.

Output
* SG: I4/mmm, No. 139
* total moment: 0.0 Bohr magnetons per cell
* polymorph energy (0 for the lowest one): 180 meV/atom

abc: 4.726 4.726 4.726
angles: 126.17 126.17 79.61
Atoms (fractional coordinates):
Al1 0.000 0.000 0.000
Ir1 0.250 0.750 0.500
Ir2 0.750 0.250 0.500
Pb1 0.500 0.500 0.000